(1)
ThCoTe | GGA-PBE | optimized geometry

Lattice parameters (Å, degrees): 4.0320 4.0959 9.6285 90.00 102.04 90.00
With the nearest neighbours (Å) after each atom.
Fractional coordinates of all 6 atoms:
Th (0.7317, 0.0723, 0.1191)  6 Co 2.98-3.08, 4 Te 3.28
Th (0.9046, 0.5723, 0.4693)  6 Co 2.98-3.08, 4 Te 3.28
Co (0.3463, 0.0723, 0.3523)  2 Co 2.32
Co (0.2899, 0.5723, 0.2360)  2 Co 2.32
Te (0.4879, 0.0723, 0.6370)  1 Co 2.68
Te (0.1482, 0.5723, 0.9514)  1 Co 2.68

Energy relative to the elements, uncorrected, meV/atom: -719.9
Space group: P2_1/m, No. 11
Size of the total moment, μB per cell: 1.5

=====

(2)
ThCoTe2 | GGA-PBE | optimized geometry

Lattice parameters (Å, degrees): 3.5891 3.5891 9.6428 79.27 79.27 60.00
With the nearest neighbours (Å) after each atom.
Fractional coordinates of all 4 atoms:
Te (0.1144, 0.1144, 0.6569)  3 Co 2.54
Te (0.8856, 0.8856, 0.3431)  3 Co 2.54
Co (0.5000, 0.5000, 0.5000)  6 Te 2.54
Th (0.0000, 0.0000, 0.0000)  2 Te 3.23, 6 Th 3.59

Energy relative to the elements, uncorrected, meV/atom: -78.3
Space group: R-3m, No. 166
Size of the total moment, μB per cell: 0.0

=====

(3)
TmThCoTe | GGA-PBE | optimized geometry

Lattice parameters (Å, degrees): 4.0507 4.0514 7.7233 90.00 105.21 120.01
With the nearest neighbours (Å) after each atom.
Fractional coordinates of all 4 atoms:
Tm (0.5015, 0.1487, 0.6654)  3 Co 2.78
Th (0.0962, 0.9461, 0.0578)  3 Co 2.72
Co (0.3037, 0.5497, 0.8687)  3 Th 2.72, 3 Tm 2.78
Te (0.9765, 0.3862, 0.3778)  3 Tm 3.15, 3 Th 3.32

Energy relative to the elements, uncorrected, meV/atom: -722.6
Space group: R3m, No. 160
Size of the total moment, μB per cell: 0.0

=====

(4)
TiCoTe | GGA-PBE | optimized geometry

Lattice parameters (Å, degrees): 3.8083 4.2288 10.3651 120.05 79.41 63.24
With the nearest neighbours (Å) after each atom.
Fractional coordinates of all 6 atoms:
Co (0.7667, 0.0494, 0.4172)  1 Ti 2.46, 3 Te 2.55-2.59, 3 Co 2.61-2.73
Co (0.2333, 0.9506, 0.5828)  1 Ti 2.46, 3 Te 2.55-2.59, 3 Co 2.61-2.73
Ti (0.7845, 0.5247, 0.9064)  1 Co 2.46, 1 Ti 2.72
Ti (0.2155, 0.4753, 0.0936)  1 Co 2.46, 1 Ti 2.72
Te (0.2611, 0.1928, 0.2850)  3 Co 2.55-2.59, 3 Ti 2.78
Te (0.7389, 0.8072, 0.7150)  3 Co 2.55-2.59, 3 Ti 2.78

Energy relative to the elements, uncorrected, meV/atom: 39.9
Space group: C2/m, No. 12
Size of the total moment, μB per cell: 1.4

=====

(5)
Ti4CoTe | GGA-PBE | optimized geometry

Lattice parameters (Å, degrees): 6.2883 5.1465 8.2601 110.93 112.37 90.00
With the nearest neighbours (Å) after each atom.
Fractional coordinates of all 12 atoms:
Ti (0.4326, 0.9475, 0.7460)  1 Co 2.33
Ti (0.6866, 0.5525, 0.2540)  1 Co 2.33
Ti (0.5674, 0.0525, 0.2540)  1 Co 2.33
Ti (0.3134, 0.4475, 0.7460)  1 Co 2.33
Ti (0.9132, 0.9907, 0.6200)  2 Co 2.41-2.51, 1 Ti 2.63
Ti (0.2932, 0.5093, 0.3800)  2 Co 2.41-2.51, 1 Ti 2.63
Ti (0.0868, 0.0093, 0.3800)  2 Co 2.41-2.51, 1 Ti 2.63
Ti (0.7068, 0.4907, 0.6200)  2 Co 2.41-2.51, 1 Ti 2.63
Co (0.5000, 0.0000, 0.5000)  6 Ti 2.33-2.51
Co (0.0000, 0.5000, 0.5000)  6 Ti 2.33-2.51
Te (0.7762, 0.7500, 0.0000)  6 Ti 2.79-2.88
Te (0.2238, 0.2500, 0.0000)  6 Ti 2.79-2.88

Energy relative to the elements, uncorrected, meV/atom: -187.4
Space group: C2/c, No. 15
Size of the total moment, μB per cell: 0.0

=====

(6)
TiCo3Te | GGA-PBE | optimized geometry

Lattice parameters (Å, degrees): 4.5335 4.5335 4.5335 90.00 90.00 90.00
With the nearest neighbours (Å) after each atom.
Fractional coordinates of all 5 atoms:
Te (0.0000, 0.0000, 0.0000)  6 Co 2.27
Co (0.0000, 0.5000, 0.0000)  2 Te 2.27
Co (0.0000, 0.0000, 0.5000)  2 Te 2.27
Co (0.5000, 0.0000, 0.0000)  2 Te 2.27
Ti (0.5000, 0.5000, 0.5000)  12 Co 3.21

Polymorph energy (0 for the lowest one), meV per atom: 151
Energy relative to the elements, uncorrected, meV/atom: 1092.8
Space group: Pm-3m, No. 221
Size of the total moment, μB per cell: 2.9

=====

(7)
Ti2CoTe | GGA-PBE | optimized geometry

Lattice parameters (Å, degrees): 7.0830 7.0830 5.7180 51.73 51.73 90.00
With the nearest neighbours (Å) after each atom.
Fractional coordinates of all 8 atoms:
Te (0.0000, 0.0000, 0.0000)  2 Co 2.76, 8 Ti 2.86-3.06
Te (0.7500, 0.2500, 0.5000)  2 Co 2.76, 8 Ti 2.86-3.06
Co (0.5000, 0.5000, 0.0000)  4 Ti 2.36
Co (0.2500, 0.7500, 0.5000)  4 Ti 2.36
Ti (0.5727, 0.1250, 0.2500)  2 Co 2.36
Ti (0.1773, 0.6250, 0.2500)  2 Co 2.36
Ti (0.3750, 0.4273, 0.7500)  2 Co 2.36
Ti (0.8750, 0.8227, 0.7500)  2 Co 2.36

Energy relative to the elements, uncorrected, meV/atom: -107.0
Space group: I-42d, No. 122
Size of the total moment, μB per cell: 0.0

=====

(8)
Ti2CoTe6 | GGA-PBE | optimized geometry

Lattice parameters (Å, degrees): 6.8821 6.9420 9.0077 90.00 86.37 90.00
With the nearest neighbours (Å) after each atom.
Fractional coordinates of all 18 atoms:
Ti (0.9790, 0.3523, 0.7464)  5 Te 2.71-2.92
Ti (0.5210, 0.8523, 0.7536)  5 Te 2.71-2.92
Ti (0.4790, 0.1477, 0.2464)  5 Te 2.71-2.92
Ti (0.0210, 0.6477, 0.2536)  5 Te 2.71-2.92
Co (0.5000, 0.5000, 0.0000)  6 Te 2.57-2.61
Co (0.0000, 0.0000, 0.5000)  6 Te 2.57-2.61
Te (0.8502, 0.9988, 0.2453)  1 Co 2.57, 2 Ti 2.71-2.76
Te (0.8391, 0.6725, 0.5730)  1 Co 2.60
Te (0.8345, 0.6650, 0.9307)  1 Co 2.61, 1 Ti 2.87
Te (0.6655, 0.1650, 0.5693)  1 Co 2.61, 1 Ti 2.87
Te (0.6609, 0.1725, 0.9270)  1 Co 2.60
Te (0.6498, 0.4988, 0.2547)  1 Co 2.57, 2 Ti 2.71-2.76
Te (0.1498, 0.0012, 0.7547)  1 Co 2.57, 2 Ti 2.71-2.76
Te (0.1609, 0.3275, 0.4270)  1 Co 2.60
Te (0.1655, 0.3350, 0.0693)  1 Co 2.61, 1 Ti 2.87
Te (0.3345, 0.8350, 0.4307)  1 Co 2.61, 1 Ti 2.87
Te (0.3391, 0.8275, 0.0730)  1 Co 2.60
Te (0.3502, 0.5012, 0.7453)  1 Co 2.57, 2 Ti 2.71-2.76

Energy relative to the elements, uncorrected, meV/atom: -376.3
Space group: P2_1/c, No. 14
Size of the total moment, μB per cell: 0.0

=====

(9)
Ti3CoTe | GGA-PBE | optimized geometry

Lattice parameters (Å, degrees): 4.5331 4.5331 4.5331 90.00 90.00 90.00
With the nearest neighbours (Å) after each atom.
Fractional coordinates of all 5 atoms:
Te (0.5000, 0.5000, 0.5000)  12 Ti 3.21
Co (0.0000, 0.0000, 0.0000)  6 Ti 2.27
Ti (0.0000, 0.5000, 0.0000)  2 Co 2.27
Ti (0.0000, 0.0000, 0.5000)  2 Co 2.27
Ti (0.5000, 0.0000, 0.0000)  2 Co 2.27

Polymorph energy (0 for the lowest one), meV per atom: 358
Energy relative to the elements, uncorrected, meV/atom: -44.0
Space group: Pm-3m, No. 221
Size of the total moment, μB per cell: 0.0

=====

(10)
Ti3CoTe | GGA-PBE | optimized geometry

Lattice parameters (Å, degrees): 3.7221 7.0433 7.1885 114.05 90.00 90.00
With the nearest neighbours (Å) after each atom.
Fractional coordinates of all 10 atoms:
Ti (0.1955, 0.0369, 0.1931)  1 Co 2.24
Ti (0.1955, 0.3902, 0.6839)  3 Co 2.49-2.62
Ti (0.1955, 0.7325, 0.4865)  3 Co 2.61-2.63, 2 Te 2.86, 2 Ti 2.91
Ti (0.6955, 0.0314, 0.8702)  3 Co 2.49-2.62
Ti (0.6955, 0.6890, 0.0676)  3 Co 2.61-2.63, 2 Te 2.86, 2 Ti 2.91
Ti (0.6955, 0.3847, 0.3609)  1 Co 2.24
Co (0.6955, 0.6252, 0.6832)  3 Ti 2.24-2.49, 2 Co 2.33
Co (0.1955, 0.7964, 0.8709)  3 Ti 2.24-2.49, 2 Co 2.33
Te (0.6955, 0.0377, 0.4775)  9 Ti 2.76-2.97
Te (0.1955, 0.3839, 0.0766)  9 Ti 2.76-2.97

Polymorph energy (0 for the lowest one), meV per atom: 0
Energy relative to the elements, uncorrected, meV/atom: -402.2
Space group: P2_1/m, No. 11
Size of the total moment, μB per cell: 0.0

=====

(11)
TiCo3Te | GGA-PBE | optimized geometry

Lattice parameters (Å, degrees): 4.3642 4.3642 4.3642 90.00 90.00 90.00
With the nearest neighbours (Å) after each atom.
Fractional coordinates of all 5 atoms:
Te (0.5000, 0.5000, 0.5000)  12 Co 3.09
Co (0.0000, 0.5000, 0.0000)  2 Ti 2.18
Co (0.0000, 0.0000, 0.5000)  2 Ti 2.18
Co (0.5000, 0.0000, 0.0000)  2 Ti 2.18
Ti (0.0000, 0.0000, 0.0000)  6 Co 2.18

Polymorph energy (0 for the lowest one), meV per atom: 0
Energy relative to the elements, uncorrected, meV/atom: 941.9
Space group: Pm-3m, No. 221
Size of the total moment, μB per cell: 1.6

=====

(12)
TiTlCoTe3 | GGA-PBE | optimized geometry

Lattice parameters (Å, degrees): 3.7876 8.8527 10.9306 116.55 90.00 90.00
With the nearest neighbours (Å) after each atom.
Fractional coordinates of all 12 atoms:
Ti (0.2500, 0.7158, 0.1852)  6 Te 2.72-2.90, 2 Co 2.94
Ti (0.7500, 0.2842, 0.8148)  6 Te 2.72-2.90, 2 Co 2.94
Tl (0.2500, 0.3037, 0.2881)  7 Te 3.34-3.70
Tl (0.7500, 0.6963, 0.7119)  7 Te 3.34-3.70
Co (0.2500, 0.0802, 0.5979)  4 Te 2.54-2.57, 2 Co 2.73
Co (0.7500, 0.9198, 0.4021)  4 Te 2.54-2.57, 2 Co 2.73
Te (0.7500, 0.9303, 0.1711)  1 Co 2.57, 2 Ti 2.73
Te (0.2500, 0.0697, 0.8289)  1 Co 2.57, 2 Ti 2.73
Te (0.2500, 0.7606, 0.4485)  3 Co 2.54-2.56, 1 Ti 2.72
Te (0.7500, 0.2394, 0.5515)  3 Co 2.54-2.56, 1 Ti 2.72
Te (0.7500, 0.4477, 0.1116)  3 Ti 2.86-2.90
Te (0.2500, 0.5523, 0.8884)  3 Ti 2.86-2.90

Energy relative to the elements, uncorrected, meV/atom: -421.0
Space group: P2_1/m, No. 11
Size of the total moment, μB per cell: 2.8

=====

(13)
TlCo2Te | GGA-PBE | optimized geometry

Lattice parameters (Å, degrees): 3.2287 3.2287 7.5527 90.00 90.00 90.00
With the nearest neighbours (Å) after each atom.
Fractional coordinates of all 4 atoms:
Co (0.0000, 0.0000, 0.0605)  1 Te 2.52, 4 Co 2.57
Co (0.5000, 0.5000, 0.2172)  4 Co 2.57, 4 Te 2.64
Te (0.0000, 0.0000, 0.3940)  5 Co 2.52-2.64
Tl (0.5000, 0.5000, 0.8283)  5 Co 2.88-2.94

Polymorph energy (0 for the lowest one), meV per atom: 123
Energy relative to the elements, uncorrected, meV/atom: 328.3
Space group: P4mm, No. 99
Size of the total moment, μB per cell: 2.2

=====

(14)
TlCoTe | GGA-PBE | optimized geometry

Lattice parameters (Å, degrees): 7.2435 7.2435 3.2649 76.98 76.98 26.05
With the nearest neighbours (Å) after each atom.
Fractional coordinates of all 3 atoms:
Co (0.9712, 0.9712, 0.0288)  4 Te 2.55
Te (0.3921, 0.3921, 0.6079)  4 Co 2.55
Tl (0.6367, 0.6367, 0.3633)  4 Co 3.24, 4 Tl 3.26, 1 Te 3.36

Polymorph energy (0 for the lowest one), meV per atom: 186
Energy relative to the elements, uncorrected, meV/atom: 181.0
Space group: I4mm, No. 107
Size of the total moment, μB per cell: 0.0

=====

(15)
TlCoTe | GGA-PBE | optimized geometry

Lattice parameters (Å, degrees): 3.6907 3.6907 5.9264 90.00 90.00 120.00
With the nearest neighbours (Å) after each atom.
Fractional coordinates of all 3 atoms:
Co (0.0000, 0.0000, 0.0334)  3 Te 2.47
Te (0.3333, 0.6667, 0.2432)  3 Co 2.47
Tl (0.6667, 0.3333, 0.7234)  3 Co 2.81

Polymorph energy (0 for the lowest one), meV per atom: 135
Energy relative to the elements, uncorrected, meV/atom: 130.4
Space group: P3m1, No. 156
Size of the total moment, μB per cell: 0.0

=====

(16)
TlCo2Te2 | GGA-PBE | optimized geometry

Lattice parameters (Å, degrees): 4.7926 4.7926 5.7460 65.35 65.35 90.00
With the nearest neighbours (Å) after each atom.
Fractional coordinates of all 5 atoms:
Tl (0.0000, 0.0000, 0.0000)  8 Te 3.34, 10 Co 3.41-3.61
Te (0.7500, 0.2500, 0.5000)  4 Co 2.63
Te (0.2500, 0.7500, 0.5000)  4 Co 2.63
Co (0.3669, 0.3669, 0.2662)  1 Co 2.47, 4 Te 2.63
Co (0.6331, 0.6331, 0.7338)  1 Co 2.47, 4 Te 2.63

Polymorph energy (0 for the lowest one), meV per atom: 356
Energy relative to the elements, uncorrected, meV/atom: 296.0
Space group: I4/mmm, No. 139
Size of the total moment, μB per cell: 0.0

=====

(17)
Tl2CoTe | GGA-PBE | optimized geometry

Lattice parameters (Å, degrees): 5.3850 5.3850 5.3850 60.00 60.00 60.00
With the nearest neighbours (Å) after each atom.
Fractional coordinates of all 4 atoms:
Tl (0.2500, 0.2500, 0.2500)  4 Co 3.30, 4 Te 3.30
Tl (0.7500, 0.7500, 0.7500)  4 Te 3.30, 4 Co 3.30
Te (0.5000, 0.5000, 0.5000)  8 Tl 3.30
Co (0.0000, 0.0000, 0.0000)  8 Tl 3.30

Polymorph energy (0 for the lowest one), meV per atom: 500
Energy relative to the elements, uncorrected, meV/atom: 606.9
Space group: Fm-3m, No. 225
Size of the total moment, μB per cell: 2.2

=====

(18)
Tl2CoTe | GGA-PBE | optimized geometry

Lattice parameters (Å, degrees): 8.9167 8.9167 8.9167 23.22 23.22 23.22
With the nearest neighbours (Å) after each atom.
Fractional coordinates of all 4 atoms:
Co (0.2500, 0.2500, 0.2500)  6 Tl 2.71
Te (0.7500, 0.7500, 0.7500)  6 Tl 3.32, 6 Te 3.59
Tl (0.9836, 0.9836, 0.9836)  3 Co 2.71
Tl (0.5164, 0.5164, 0.5164)  3 Co 2.71

Polymorph energy (0 for the lowest one), meV per atom: 360
Energy relative to the elements, uncorrected, meV/atom: 466.9
Space group: R-3m, No. 166
Size of the total moment, μB per cell: 0.8

=====

(19)
Tl2CoTe | GGA-PBE | optimized geometry

Lattice parameters (Å, degrees): 7.5345 7.5345 7.5345 154.67 145.77 43.06
With the nearest neighbours (Å) after each atom.
Fractional coordinates of all 4 atoms:
Co (0.4685, 0.4685, 0.0000)  2 Te 2.49
Te (0.3357, 0.8357, 0.5000)  2 Co 2.49
Tl (0.0100, 0.0100, 0.0000)  4 Co 2.83
Tl (0.6858, 0.1858, 0.5000)  4 Tl 3.30-3.32, 2 Co 3.47, 4 Te 3.47

Polymorph energy (0 for the lowest one), meV per atom: 87
Energy relative to the elements, uncorrected, meV/atom: 194.5
Space group: Imm2, No. 44
Size of the total moment, μB per cell: 0.3

=====

(20)
Tl2CoTe | GGA-PBE | optimized geometry

Lattice parameters (Å, degrees): 5.4825 5.4825 9.1295 72.53 72.53 90.00
With the nearest neighbours (Å) after each atom.
Fractional coordinates of all 8 atoms:
Tl (0.5314, 0.1250, 0.2500)  2 Co 2.62
Tl (0.2186, 0.6250, 0.2500)  2 Co 2.62
Tl (0.3750, 0.4686, 0.7500)  2 Co 2.62
Tl (0.8750, 0.7814, 0.7500)  2 Co 2.62
Te (0.0000, 0.0000, 0.0000)  4 Tl 3.11
Te (0.7500, 0.2500, 0.5000)  4 Tl 3.11
Co (0.5000, 0.5000, 0.0000)  4 Tl 2.62
Co (0.2500, 0.7500, 0.5000)  4 Tl 2.62

Polymorph energy (0 for the lowest one), meV per atom: 388
Energy relative to the elements, uncorrected, meV/atom: 494.9
Space group: I-42d, No. 122
Size of the total moment, μB per cell: 3.0